(1)
## La6Fe (PBE)

Data for a geometry-optimized La6Fe structure.

Unit cell a=6.5970 b=11.6527 c=12.4668 alpha=90.00 beta=90.00 gamma=90.00
Element x y z (fractional)
La 0.7352 0.2500 0.4961
La 0.2648 0.7500 0.5039
La 0.2352 0.7500 0.0039
La 0.7648 0.2500 0.9961
La 0.4054 0.2500 0.7618
La 0.5946 0.7500 0.2382
La 0.9054 0.7500 0.7382
La 0.0946 0.2500 0.2618
La 0.2591 0.4241 0.5036
La 0.7409 0.5759 0.4964
La 0.7591 0.5759 0.9964
La 0.7409 0.9241 0.4964
La 0.2409 0.4241 0.0036
La 0.2591 0.0759 0.5036
La 0.2409 0.0759 0.0036
La 0.7591 0.9241 0.9964
La 0.9145 0.4098 0.7417
La 0.0855 0.5902 0.2583
La 0.4145 0.5902 0.7583
La 0.0855 0.9098 0.2583
La 0.5855 0.4098 0.2417
La 0.9145 0.0902 0.7417
La 0.5855 0.0902 0.2417
La 0.4145 0.9098 0.7583
Fe 0.1040 0.2500 0.6049
Fe 0.8960 0.7500 0.3951
Fe 0.6040 0.7500 0.8951
Fe 0.3960 0.2500 0.1049

Calculated values
Density (Mg/m³): 6.163
V (Å³ per atom): 34.23
Formation energy from the elements (eV per atom): 0.04

(2)
## Li2Cu3Si (PBE)

Data for a geometry-optimized Li2Cu3Si structure.

Unit cell a=4.7510 b=4.7510 c=4.7510 alpha=63.42 beta=63.42 gamma=63.42
Element x y z (fractional)
Li 0.3746 0.3746 0.3746
Li 0.6254 0.6254 0.6254
Cu 0.0000 0.0000 0.5000
Cu 0.5000 0.0000 0.0000
Cu 0.0000 0.5000 0.0000
Si 0.0000 0.0000 0.0000

Calculated values
Uncorrected formation energy (eV/atom): -0.21
Density (Mg/m³): 4.736
V (Å³ per atom): 13.59